Computed, not measured: crystalline Sr2CaNi2 at its relaxed geometry at the PBE level of DFT.

The formation energy comes out at 9 meV per atom. The calculated volume is 274.48 Å³/cell.

The structure belongs to space group P4/mbm (No. 127); the cell edges are 7.780, 7.780 and 4.534 Å and the angles 90.00°, 90.00° and 90.00°. The asymmetric unit holds Sr at (0.169, 0.331, 0.000), Ca at (0.000, 0.000, 0.500) and Ni at (0.107, 0.607, 0.500).

Computed, not measured: crystalline Sr2CaNi2 at its relaxed geometry at the PBE level of DFT.

The formation energy comes out at 227 meV per atom. The calculated volume is 284.49 Å³/cell.

The structure belongs to space group I4/mmm (No. 139); the cell edges are 4.795, 4.795 and 12.373 Å and the angles 90.00°, 90.00° and 90.00°. The asymmetric unit holds Sr at (0.000, 0.500, 0.250), Ca at (0.000, 0.000, 0.000) and Ni at (0.000, 0.000, 0.407).

Computed, not measured: crystalline SrCa3Ni at its relaxed geometry at the PBE level of DFT.

The formation energy comes out at 217 meV per atom. The calculated volume is 423.56 Å³/cell.

The structure belongs to space group P6_3/mmc (No. 194); the cell edges are 4.5042, 4.5042 and 24.1078 Å and the angles 90.00°, 90.00° and 120.00°. The asymmetric unit holds Sr at (0.0000, 0.0000, 0.0000), Ca at (0.0000, 0.0000, 0.2500), Ca at (0.3333, 0.6667, 0.1350) and Ni at (0.3333, 0.6667, 0.2500).

Computed, not measured: crystalline SrCa2Ni at its relaxed geometry at the PBE level of DFT.

The formation energy comes out at 30 meV per atom. The calculated volume is 129.43 Å³/cell.

The structure belongs to space group P4/mmm (No. 123); the cell edges are 3.646, 3.646 and 9.739 Å and the angles 90.00°, 90.00° and 90.00°. The asymmetric unit holds Sr at (0.000, 0.000, 0.000), Ca at (0.500, 0.500, 0.333) and Ni at (0.000, 0.000, 0.500).

Magnetic moment / Bohr magnetons per cell: 0.00 0.00 0.00 0.00
Excess energy over the best structure of this formula in the dataset / meV per atom: 0.0 217.6 274.0 97.4